Record 1
# LaNdIn2Pd4 | OQMD | PBE | relaxed
# Density (g/cm3): 8.97
# Magnetization (μB/atom): 0.001
# VASP energy (eV/atom): -5.28
data_LaNdIn2Pd4
_chemical_formula_sum 'La1 Nd1 In2 Pd4'
_symmetry_space_group_name_H-M 'P -6 m 2'
_symmetry_Int_Tables_number 187
_symmetry_space_group_name_Hall 'P -6 2'
_cell_length_a 4.6717
_cell_length_b 4.6717
_cell_length_c 9.1868
_cell_angle_alpha 90.00
_cell_angle_beta 90.00
_cell_angle_gamma 120.00
loop_
_atom_site_label
_atom_site_type_symbol
_atom_site_fract_x
_atom_site_fract_y
_atom_site_fract_z
La1 La 0.0000 0.0000 0.0000
Nd1 Nd 0.3333 0.6667 0.5000
In1 In 0.6667 0.3333 0.2551
Pd1 Pd 0.0000 0.0000 0.3350
Pd2 Pd 0.3333 0.6667 0.1694

Record 2
# ErS3Cl | OQMD | PBE | relaxed
# Density (g/cm3): 4.00
# Magnetization (μB/atom): 0.000
# ΔE to the lowest computed polymorph (meV/atom): 196
# VASP energy (eV/atom): -4.68
data_ErS3Cl
_chemical_formula_sum 'Er4 S12 Cl4'
_symmetry_space_group_name_H-M 'C 1 2/m 1'
_symmetry_Int_Tables_number 12
_symmetry_space_group_name_Hall '-C 2y'
_cell_length_a 8.0588
_cell_length_b 8.4471
_cell_length_c 7.3899
_cell_angle_alpha 90.00
_cell_angle_beta 99.29
_cell_angle_gamma 90.00
loop_
_atom_site_label
_atom_site_type_symbol
_atom_site_fract_x
_atom_site_fract_y
_atom_site_fract_z
Er1 Er 0.0000 0.2413 0.0000
S1 S 0.0703 0.0000 0.7679
S2 S 0.2147 0.3746 0.7838
Cl1 Cl 0.1659 0.5000 0.2262

Record 3
# HfGaCo2 | OQMD | PBE | relaxed
# Density (g/cm3): 10.80
# Magnetization (μB/atom): 0.036
# VASP energy (eV/atom): -6.84
data_HfGaCo2
_chemical_formula_sum 'Hf4 Ga4 Co8'
_symmetry_space_group_name_H-M 'F -4 3 m'
_symmetry_Int_Tables_number 216
_symmetry_space_group_name_Hall 'F -4 2 3'
_cell_length_a 6.0829
_cell_length_b 6.0829
_cell_length_c 6.0829
_cell_angle_alpha 90.00
_cell_angle_beta 90.00
_cell_angle_gamma 90.00
loop_
_atom_site_label
_atom_site_type_symbol
_atom_site_fract_x
_atom_site_fract_y
_atom_site_fract_z
Hf1 Hf 0.0000 0.0000 0.0000
Ga1 Ga 0.2500 0.2500 0.7500
Co1 Co 0.0000 0.0000 0.5000
Co2 Co 0.2500 0.2500 0.2500

Record 4
# ZrBeAgAu | OQMD | PBE | relaxed
# Density (g/cm3): 10.15
# Magnetization (μB/atom): 0.001
# ΔE to the lowest computed polymorph (meV/atom): 51
# VASP energy (eV/atom): -4.65
data_ZrBeAgAu
_chemical_formula_sum 'Zr4 Be4 Ag4 Au4'
_symmetry_space_group_name_H-M 'F -4 3 m'
_symmetry_Int_Tables_number 216
_symmetry_space_group_name_Hall 'F -4 2 3'
_cell_length_a 6.4229
_cell_length_b 6.4229
_cell_length_c 6.4229
_cell_angle_alpha 90.00
_cell_angle_beta 90.00
_cell_angle_gamma 90.00
loop_
_atom_site_label
_atom_site_type_symbol
_atom_site_fract_x
_atom_site_fract_y
_atom_site_fract_z
Zr1 Zr 0.0000 0.0000 0.0000
Be1 Be 0.2500 0.2500 0.7500
Ag1 Ag 0.2500 0.2500 0.2500
Au1 Au 0.0000 0.0000 0.5000